## Sr2ScMo (PBE)

Data for a geometry-optimized Sr2ScMo structure.

```
data_Sr2ScMo
_chemical_formula_sum 'Sr4 Sc2 Mo2'
_space_group_name_H-M_alt 'I m m m'
_space_group_IT_number 71
_space_group_name_Hall '-I 2 2'
_cell_length_a 3.4385
_cell_length_b 4.2948
_cell_length_c 18.6273
_cell_angle_alpha 90.00
_cell_angle_beta 90.00
_cell_angle_gamma 90.00
loop_
_atom_site_label
_atom_site_type_symbol
_atom_site_fract_x
_atom_site_fract_y
_atom_site_fract_z
Sr1 Sr 0.0000 0.0000 0.1559
Sc1 Sc 0.0000 0.5000 0.0000
Mo1 Mo 0.0000 0.5000 0.5000
```

Output
DOS at the Fermi energy ... 10.35 states/eV per cell
Energy relative to the lowest polymorph listed for this composition ... 131.6 meV per atom
E ... -0.334 Ry per atom

## BaNi2Ru (PBE)

Data for a geometry-optimized BaNi2Ru structure.

```
data_BaNi2Ru
_chemical_formula_sum 'Ba2 Ni4 Ru2'
_space_group_name_H-M_alt 'C 1 2/m 1'
_space_group_IT_number 12
_space_group_name_Hall '-C 2y'
_cell_length_a 6.0570
_cell_length_b 7.6309
_cell_length_c 3.0356
_cell_angle_alpha 90.00
_cell_angle_beta 90.15
_cell_angle_gamma 90.00
loop_
_atom_site_label
_atom_site_type_symbol
_atom_site_fract_x
_atom_site_fract_y
_atom_site_fract_z
Ba1 Ba 0.0000 0.0000 0.0000
Ni1 Ni 0.2500 0.2500 0.5000
Ru1 Ru 0.0000 0.5000 0.0000
```

Output
DOS at the Fermi energy ... 11.43 states/eV per cell
Energy relative to the lowest polymorph listed for this composition ... 695.9 meV per atom
E ... -0.359 Ry per atom